1.
Ta4GaIr5: relaxed, PBE-GGA.

Calculated values
Final energy (eV per atom): -10.023
Crystal system: orthorhombic
Formation energy from the elements (eV/f.u.): -5.49
Total moment (μB per formula unit): 0.00
Mass density (kg/m3): 18343

Structure (extended XYZ):
```
10
Lattice="2.880 0.000 0.000 0.000 3.813 0.000 0.000 0.000 14.463" Properties=species:S:1:pos:R:3 pbc="T T T"
Ta 0.000 0.000 1.448
Ta 0.000 0.000 4.392
Ta 0.000 0.000 10.072
Ta 0.000 0.000 13.016
Ga 0.000 0.000 7.232
Ir 1.440 1.907 0.000
Ir 1.440 1.907 2.905
Ir 1.440 1.907 5.838
Ir 1.440 1.907 8.626
Ir 1.440 1.907 11.558
```

***

2.
Sc2SiRu: relaxed, PBE-GGA.

Calculated values
Final energy (eV per atom): -7.365
Crystal system: tetragonal
Total moment (μB per formula unit): 0.00
Mass density (kg/m3): 5026

Structure (extended XYZ):
```
4
Lattice="3.071 0.000 0.000 0.000 3.071 0.000 0.000 0.000 7.675" Properties=species:S:1:pos:R:3 pbc="T T T"
Sc 0.000 0.000 0.000
Sc 1.535 1.535 2.760
Si 0.000 0.000 4.663
Ru 1.535 1.535 5.854
```